VASP calculation (PBE) on a relaxed structure of RbNdGe2Cl8.

The calculation puts the formation energy from raw total energies at -1472 meV per atom.

a = 6.4001 Å, b = 6.9735 Å, c = 9.4729 Å
α = 86.76°, β = 89.69°, γ = 85.23°
Sites, in units of the cell vectors:
Rb 0.0000 0.0000 0.0000
Nd 0.0000 0.0000 0.5000
Ge 0.4578 0.4534 0.2735
Ge 0.5422 0.5466 0.7265
Cl 0.2163 0.8079 0.2957
Cl 0.2435 0.3171 0.4624
Cl 0.2708 0.8610 0.7152
Cl 0.2729 0.3670 0.0845
Cl 0.7271 0.6330 0.9155
Cl 0.7292 0.1390 0.2848
Cl 0.7565 0.6829 0.5376
Cl 0.7837 0.1921 0.7043

---

VASP calculation (PBE) on a relaxed structure of RuPt2I.

The calculation puts the formation energy from raw total energies at 860 meV per atom. Its excess energy over the best structure of this formula in the dataset is 52.0 meV per atom.

a = 6.7055 Å, b = 6.7055 Å, c = 8.3093 Å
α = 90.00°, β = 90.00°, γ = 90.00°
Sites, in units of the cell vectors:
Ru 0.0000 0.0000 0.0000
Ru 0.0000 0.5000 0.2500
Ru 0.5000 0.0000 0.7500
Ru 0.5000 0.5000 0.5000
Pt 0.2153 0.2500 0.1250
Pt 0.2500 0.7153 0.3750
Pt 0.2500 0.7847 0.8750
Pt 0.2847 0.2500 0.6250
Pt 0.7153 0.7500 0.6250
Pt 0.7500 0.2153 0.8750
Pt 0.7500 0.2847 0.3750
Pt 0.7847 0.7500 0.1250
I 0.0000 0.0000 0.5000
I 0.0000 0.5000 0.7500
I 0.5000 0.0000 0.2500
I 0.5000 0.5000 0.0000